The following is a DFT calculation (PBE) of a relaxed Pr2NdErBi4 crystal. Values from VASP.

Geometry as Quantum ESPRESSO input:
```
&SYSTEM
  ibrav = 0, nat = 8, ntyp = 4
/
ATOMIC_SPECIES
Bi 208.98 Bi.upf
Nd 144.24 Nd.upf
Pr 140.91 Pr.upf
Er 167.26 Er.upf
ATOMIC_POSITIONS angstrom
Bi 0.000 5.225 1.892
Bi 0.000 -0.061 5.684
Bi 2.295 1.331 1.853
Bi 2.295 3.834 5.724
Nd 0.000 0.000 0.000
Pr 2.295 -1.389 3.720
Pr 0.000 2.582 3.788
Er 2.295 3.971 0.068
CELL_PARAMETERS angstrom
4.590 0.000 0.000
0.000 7.943 0.136
0.000 -2.778 7.440
```

Properties
**Density of states at the Fermi level**: 1.173 states/eV/f.u.
**Energy of formation**: -0.914 eV per atom
**E_tot**: -5.2156 eV per atom